VASP calculation (PBE-GGA) on a relaxed PmAlBRu2 crystal.

Calculated values
The volume is 16.76 A^3/atom. The formation energy from the elements is -433 meV/atom. The density of states at the Fermi level is 14.07 states/eV/cell. The raw total energy comes out at -0.2638 hartree per atom.

Cell: 4.1381 11.0350 7.3418 Å, 90.00 90.00 90.00°
Space group Cmcm (No. 63)
Symmetry-distinct sites (fractional):
Pm  0.0000  0.0525  0.2500 x4
Al  0.0000  0.2245  0.7500 x4
B  0.0000  0.5000  0.0000 x4
Ru  0.0000  0.3259  0.0588 x8